Computed, not measured: an optimized crystal structure of TlZnCo2 at the PBE level of DFT.

Properties
**Energy of formation from the pure elements**: 0.39 eV/atom
**Energy**: -4.07 eV/atom
**DOS at the Fermi energy**: 1.082 states/eV per atom
**Distance to the lowest polymorph of the same formula**: 0.092 eV/atom

Cell lengths 9.5076, 3.0200, 4.4386 Å; angles 90.00, 109.54, 90.00 degrees
Atoms (fractional coordinates):
Tl1 0.0000 0.0000 0.0000
Tl2 0.5000 0.5000 0.0000
Zn1 0.2811 0.5000 0.3290
Zn2 0.7811 0.0000 0.3290
Co1 0.0313 0.5000 0.5222
Co2 0.2382 0.0000 0.7722
Co3 0.5313 0.0000 0.5222
Co4 0.7382 0.5000 0.7722